Below is a relaxed structure of Tb2Sm4HoMg, with properties calculated at the PBE-GGA level.

## Properties
* energy of formation: 0.012 eV/atom
* spin magnetization: 0.00 μB per atom

Lattice parameters (Å, degrees): 5.0287 5.0287 10.0064 90.00 90.00 90.00
Space group P4/mmm (No. 123)
One atom of each set of equivalent atoms:
1 Tb 0.0000 0.0000 0.0000 [1 per cell]
2 Tb 0.5000 0.5000 0.5000 [1 per cell]
3 Sm 0.0000 0.5000 0.2472 [4 per cell]
4 Ho 0.0000 0.0000 0.5000 [1 per cell]
5 Mg 0.5000 0.5000 0.0000 [1 per cell]